A relaxed AlAg2Os crystal, computed with GGA-PBE.

Cell lengths 9.2775, 9.2775, 9.2775 Å; angles 17.66, 17.66, 17.66 degrees
Positions (direct):
1 Ag 0.2444 0.2444 0.2444
2 Os 0.7578 0.7578 0.7578
3 Al 0.4961 0.4961 0.4961
4 Ag 0.0018 0.0018 0.0018

Output
Final energy: -20.3 eV for the cell shown
Space-group type: No. 160

A relaxed PmZnCdBi crystal, computed with GGA-PBE.

Cell lengths 5.3006, 5.3006, 5.3006 Å; angles 60.00, 60.00, 60.00 degrees
Positions (direct):
1 Bi 0.5000 0.5000 0.5000
2 Pm 0.2500 0.2500 0.2500
3 Zn 0.0000 0.0000 0.0000
4 Cd 0.7500 0.7500 0.7500

Output
Final energy: -11.5 eV for the cell shown
Space-group type: No. 216

A relaxed Pa4Pt7Rh6 crystal, computed with GGA-PBE.

Cell lengths 7.3388, 7.3388, 7.3388 Å; angles 109.47, 109.47, 109.47 degrees
Positions (direct):
1 Pt 0.5000 0.7500 0.2500
2 Rh 0.0000 0.2973 0.2973
3 Pt 0.2500 0.7500 0.5000
4 Pt 0.5000 0.2500 0.7500
5 Pt 0.7500 0.5000 0.2500
6 Pt 0.7500 0.2500 0.5000
7 Pt 0.2500 0.5000 0.7500
8 Rh 0.7027 0.0000 0.7027
9 Rh 0.0000 0.7027 0.7027
10 Pa 0.0000 0.0000 0.5000
11 Pa 0.0000 0.5000 0.0000
12 Pa 0.5000 0.0000 0.0000
13 Rh 0.7027 0.7027 0.0000
14 Rh 0.2973 0.2973 0.0000
15 Rh 0.2973 0.0000 0.2973
16 Pa 0.5000 0.5000 0.5000
17 Pt 0.0000 0.0000 0.0000

Output
Final energy: -137.6 eV for the cell shown
Space-group type: No. 229

A relaxed BeCu2S crystal, computed with GGA-PBE.

Cell lengths 3.5135, 3.5135, 8.5780 Å; angles 78.18, 78.18, 90.00 degrees
Positions (direct):
1 Cu 0.8750 0.8652 0.7500
2 S 0.7500 0.2500 0.5000
3 Be 0.2500 0.7500 0.5000
4 Cu 0.1348 0.6250 0.2500
5 Cu 0.6152 0.1250 0.2500
6 S 0.0000 0.0000 0.0000
7 Cu 0.3750 0.3848 0.7500
8 Be 0.5000 0.5000 0.0000

Output
Final energy: -30.7 eV for the cell shown
Uncorrected formation energy: 0.7 eV per formula unit
Space-group type: No. 122
Energy above the lowest structure with this stoichiometry: 0.0 kJ/mol of atoms

How do the records compare in mass density? In the order shown, they have 11208; 8386; 15866; 5510 kg/m³.